Material: AcNdSbCl
Method: DFT, PBE
State: optimized geometry

Unit cell a=5.491 b=5.491 c=5.491 alpha=60.00 beta=60.00 gamma=60.00
Site moments in Bohr magnetons follow the coordinates.
Atoms (fractional coordinates):
Sb 0.250 0.250 0.250  0.00
Nd 0.500 0.500 0.500  0.08
Cl 0.750 0.750 0.750  0.00
Ac 0.000 0.000 0.000  0.04

Results
Space group ... F-43m, No. 216
Uncorrected formation energy ... -1219 meV/atom